1.
The following is a DFT calculation (GGA-PBE) of a relaxed structure of InHg5Pb5.

crystal system: monoclinic
raw total energy: -44.44 eV/cell
volume: 30.0 Å³/atom

Structure (CIF):
```
data_InHg5Pb5
_chemical_formula_sum 'In2 Hg10 Pb10'
_space_group_name_H-M_alt 'C 1 2/m 1'
_space_group_IT_number 12
_cell_length_a 10.206
_cell_length_b 5.586
_cell_length_c 11.663
_cell_angle_alpha 90.00
_cell_angle_beta 97.05
_cell_angle_gamma 90.00
loop_
_space_group_symop_operation_xyz
'x,y,z'
'-x,-y,-z'
'-x,y,-z'
'x,-y,z'
'x+1/2,y+1/2,z'
'-x+1/2,-y+1/2,-z'
'-x+1/2,y+1/2,-z'
'x+1/2,-y+1/2,z'
loop_
_atom_site_label
_atom_site_type_symbol
_atom_site_fract_x
_atom_site_fract_y
_atom_site_fract_z
In1 In 0.000 0.000 0.000
Hg1 Hg 0.000 0.500 0.000
Hg2 Hg 0.105 0.000 0.770
Hg3 Hg 0.240 0.500 0.862
Pb1 Pb 0.000 0.000 0.500
Pb2 Pb 0.095 0.500 0.302
Pb3 Pb 0.198 0.500 0.584
```

2.
The following is a DFT calculation (GGA-PBE) of a relaxed structure of In2HgPb.

crystal system: orthorhombic
raw total energy: -18.79 eV/cell
volume: 28.0 Å³/atom

Structure (CIF):
```
data_In2HgPb
_chemical_formula_sum 'In4 Hg2 Pb2'
_space_group_name_H-M_alt 'I m m 2'
_space_group_IT_number 44
_cell_length_a 3.602
_cell_length_b 5.629
_cell_length_c 11.037
_cell_angle_alpha 90.00
_cell_angle_beta 90.00
_cell_angle_gamma 90.00
loop_
_space_group_symop_operation_xyz
'x,y,z'
'-x,-y,z'
'-x,y,z'
'x,-y,z'
'x+1/2,y+1/2,z+1/2'
'-x+1/2,-y+1/2,z+1/2'
'-x+1/2,y+1/2,z+1/2'
'x+1/2,-y+1/2,z+1/2'
loop_
_atom_site_label
_atom_site_type_symbol
_atom_site_fract_x
_atom_site_fract_y
_atom_site_fract_z
In1 In 0.000 0.000 0.000
In2 In 0.000 0.500 0.251
Hg1 Hg 0.000 0.000 0.516
Pb1 Pb 0.000 0.500 0.763
```